KSi2Sb: relaxed, GGA-PBE.

Structure (CIF):
```
data_KSi2Sb
_cell_length_a 3.728
_cell_length_b 5.896
_cell_length_c 9.905
_cell_angle_alpha 90.00
_cell_angle_beta 90.00
_cell_angle_gamma 90.00
_symmetry_space_group_name_H-M 'I m m m'
_symmetry_Int_Tables_number 71
_symmetry_space_group_name_Hall '-I 2 2'
loop_
_atom_site_label
_atom_site_fract_x
_atom_site_fract_y
_atom_site_fract_z
K1 0.000 0.000 0.000
Si1 0.000 0.500 0.201
Sb1 0.000 0.000 0.500
```

The calculation puts the uncorrected formation energy at 0.529 eV/atom. Its density of states at the Fermi level is 2.867 states/eV/f.u. Its total energy is -3.49 eV per atom.

=====

TlNi2BRh: relaxed, GGA-PBE.

Structure (CIF):
```
data_TlNi2BRh
_cell_length_a 4.003
_cell_length_b 4.003
_cell_length_c 4.120
_cell_angle_alpha 90.00
_cell_angle_beta 90.00
_cell_angle_gamma 90.00
_symmetry_space_group_name_H-M 'P 4/m m m'
_symmetry_Int_Tables_number 123
_symmetry_space_group_name_Hall '-P 4 2'
loop_
_atom_site_label
_atom_site_fract_x
_atom_site_fract_y
_atom_site_fract_z
Tl1 0.000 0.000 0.000
Ni1 0.000 0.500 0.500
B1 0.500 0.500 0.500
Rh1 0.500 0.500 0.000
```

The calculation puts the formation energy at -0.065 eV/atom. Its density of states at the Fermi level is 2.683 states/eV/f.u. Its total energy is -5.66 eV per atom.

=====

LaY2Tm5: relaxed, GGA-PBE.

Structure (CIF):
```
data_LaY2Tm5
_cell_length_a 7.091
_cell_length_b 19.937
_cell_length_c 7.097
_cell_angle_alpha 90.00
_cell_angle_beta 90.00
_cell_angle_gamma 90.00
_symmetry_space_group_name_H-M 'P b a m'
_symmetry_Int_Tables_number 55
_symmetry_space_group_name_Hall '-P 2 2ab'
loop_
_atom_site_label
_atom_site_fract_x
_atom_site_fract_y
_atom_site_fract_z
La1 0.248 0.126 0.000
Y1 0.000 0.500 0.252
Y2 0.248 0.126 0.500
Tm1 0.000 0.000 0.252
Tm2 0.000 0.250 0.253
Tm3 0.249 0.874 0.000
Tm4 0.249 0.874 0.500
```

The calculation puts the formation energy at 0.031 eV/atom. Its density of states at the Fermi level is 10.717 states/eV/f.u. Its total energy is -5.00 eV per atom.

=====

ScMoW2: relaxed, GGA-PBE.

Structure (CIF):
```
data_ScMoW2
_cell_length_a 3.172
_cell_length_b 3.172
_cell_length_c 6.872
_cell_angle_alpha 90.00
_cell_angle_beta 90.00
_cell_angle_gamma 90.00
_symmetry_space_group_name_H-M 'P 4/m m m'
_symmetry_Int_Tables_number 123
_symmetry_space_group_name_Hall '-P 4 2'
loop_
_atom_site_label
_atom_site_fract_x
_atom_site_fract_y
_atom_site_fract_z
Sc1 0.000 0.000 0.000
Mo1 0.000 0.000 0.500
W1 0.500 0.500 0.278
```

The calculation puts the formation energy at 0.184 eV/atom. Its density of states at the Fermi level is 3.349 states/eV/f.u. Its total energy is -10.58 eV per atom.

=====

Sn3BiSe6: relaxed, GGA-PBE.

Structure (CIF):
```
data_Sn3BiSe6
_cell_length_a 10.528
_cell_length_b 4.027
_cell_length_c 14.090
_cell_angle_alpha 90.00
_cell_angle_beta 101.74
_cell_angle_gamma 90.00
_symmetry_space_group_name_H-M 'P 1 21/m 1'
_symmetry_Int_Tables_number 11
_symmetry_space_group_name_Hall '-P 2yb'
loop_
_atom_site_label
_atom_site_fract_x
_atom_site_fract_y
_atom_site_fract_z
Sn1 0.063 0.250 0.289
Sn2 0.354 0.750 0.429
Sn3 0.419 0.250 0.829
Bi1 0.167 0.750 0.957
Se1 0.040 0.750 0.130
Se2 0.094 0.750 0.429
Se3 0.234 0.750 0.766
Se4 0.325 0.250 0.291
Se5 0.361 0.250 0.017
Se6 0.386 0.250 0.569
```

The calculation puts the uncorrected formation energy at -0.358 eV/atom. Its density of states at the Fermi level is 2.545 states/eV/f.u. Its total energy is -4.04 eV per atom.

=====

PmEuGaPb: relaxed, GGA-PBE.

Structure (CIF):
```
data_PmEuGaPb
_cell_length_a 7.693
_cell_length_b 7.693
_cell_length_c 7.693
_cell_angle_alpha 90.00
_cell_angle_beta 90.00
_cell_angle_gamma 90.00
_symmetry_space_group_name_H-M 'F -4 3 m'
_symmetry_Int_Tables_number 216
_symmetry_space_group_name_Hall 'F -4 2 3'
loop_
_atom_site_label
_atom_site_fract_x
_atom_site_fract_y
_atom_site_fract_z
Pm1 0.000 0.000 0.000
Eu1 0.000 0.000 0.500
Ga1 0.250 0.250 0.750
Pb1 0.250 0.250 0.250
```

The calculation puts the formation energy at -0.462 eV/atom. Its density of states at the Fermi level is 6.466 states/eV/f.u. Its total energy is -5.90 eV per atom.

=====

Which formula does entry 5 have? Sn3BiSe6

=====

What did the fourth record say?
ScMoW2: relaxed, GGA-PBE.

Structure (CIF):
```
data_ScMoW2
_cell_length_a 3.172
_cell_length_b 3.172
_cell_length_c 6.872
_cell_angle_alpha 90.00
_cell_angle_beta 90.00
_cell_angle_gamma 90.00
_symmetry_space_group_name_H-M 'P 4/m m m'
_symmetry_Int_Tables_number 123
_symmetry_space_group_name_Hall '-P 4 2'
loop_
_atom_site_label
_atom_site_fract_x
_atom_site_fract_y
_atom_site_fract_z
Sc1 0.000 0.000 0.000
Mo1 0.000 0.000 0.500
W1 0.500 0.500 0.278
```

The calculation puts the formation energy at 0.184 eV/atom. Its density of states at the Fermi level is 3.349 states/eV/f.u. Its total energy is -10.58 eV per atom.